(1)
# Ce2NiBPt6 PBE relaxed
data_Ce2NiBPt6
_space_group_name_H-M_alt 'R -3 m'
_space_group_IT_number 166
_space_group_name_Hall '-R 3 2"'
_cell_length_a 5.5669
_cell_length_b 5.5669
_cell_length_c 20.1268
_cell_angle_alpha 90.00
_cell_angle_beta 90.00
_cell_angle_gamma 120.00
loop_
_atom_site_label
_atom_site_type_symbol
_atom_site_fract_x
_atom_site_fract_y
_atom_site_fract_z
Ce1 Ce 0.0000 0.0000 0.2066
Ni1 Ni 0.0000 0.0000 0.5000
B1 B 0.0000 0.0000 0.0000
Pt1 Pt 0.0086 0.5043 0.2673
# Crystal system = trigonal
# M_tot = 0.399 μB/f.u.
# N(E_F) = 12.64 states/eV/f.u.
# Mass density = 14.02 g cm⁻³
# Calculated formation energy = -756 meV/atom



(2)
# Ti2GaNiTe PBE relaxed
data_Ti2GaNiTe
_space_group_name_H-M_alt 'P 4/m m m'
_space_group_IT_number 123
_space_group_name_Hall '-P 4 2'
_cell_length_a 4.7141
_cell_length_b 4.7141
_cell_length_c 5.1612
_cell_angle_alpha 90.00
_cell_angle_beta 90.00
_cell_angle_gamma 90.00
loop_
_atom_site_label
_atom_site_type_symbol
_atom_site_fract_x
_atom_site_fract_y
_atom_site_fract_z
Ti1 Ti 0.0000 0.5000 0.0000
Ga1 Ga 0.0000 0.0000 0.0000
Ni1 Ni 0.5000 0.5000 0.5000
Te1 Te 0.0000 0.0000 0.5000
# Crystal system = tetragonal
# M_tot = 0.000 μB/f.u.
# N(E_F) = 4.92 states/eV/f.u.
# Mass density = 5.09 g cm⁻³
# Raw formation energy = 1.01 eV per atom